No. 1
NdZn5PdAu2: optimized geometry, PBE.

DFT formation energy: -138 meV/atom

abc: 4.9175 4.9175 7.4954
angles: 90.00 90.00 90.00
With the nearest neighbours (Å) after each atom.
Space group P4/mmm (No. 123)
Unique sites:
Nd (0.0000, 0.0000, 0.0000)  12 Zn 3.39-3.48, 2 Pd 3.75
Zn (0.0000, 0.5000, 0.3109)  2 Au 2.46
Zn (0.5000, 0.5000, 0.0000)  2 Au 2.40
Pd (0.0000, 0.0000, 0.5000)  8 Zn 2.84
Au (0.5000, 0.5000, 0.3199)  5 Zn 2.40-2.46

No. 2
TcGeRh2: optimized geometry, PBE.

DFT formation energy: 591 meV/atom

abc: 5.3558 5.3558 11.6761
angles: 90.00 90.00 90.00
With the nearest neighbours (Å) after each atom.
Space group I-42d (No. 122)
Unique sites:
Tc (0.0000, 0.0000, 0.0000)  4 Rh 2.38
Ge (0.0000, 0.0000, 0.5000)  4 Rh 2.40
Rh (0.2480, 0.2500, 0.1250)  2 Tc 2.38, 2 Ge 2.40

No. 3
NpSbPdRu: optimized geometry, PBE.

formation energy (no corrections): -0.15 eV per atom

abc: 6.7403 6.7403 6.7403
angles: 90.00 90.00 90.00
With the nearest neighbours (Å) after each atom.
Space group F-43m (No. 216)
Unique sites:
Np (0.0000, 0.0000, 0.0000)  4 Ru 2.92, 4 Pd 2.92
Sb (0.0000, 0.0000, 0.5000)  4 Ru 2.92, 4 Pd 2.92
Pd (0.2500, 0.2500, 0.7500)  4 Sb 2.92, 4 Np 2.92
Ru (0.2500, 0.2500, 0.2500)  4 Sb 2.92, 4 Np 2.92

| no. | volume (Å³ per atom) | electronic total energy (eV/cell) | N(E_F) (states/eV per cell) |
| --- | --- | --- | --- |
| 1 | 20.14 | -24.1 | 3.502 |
| 2 | 20.93 | -109.3 | 15.021 |
| 3 | 19.14 | -128.5 | 33.346 |